1.
## K3NaCu2As2 (PBE-GGA)

Data for a relaxed structure of K3NaCu2As2.

Lattice parameters (Å, degrees): 6.153 5.737 6.265 90.00 104.67 90.00
Fractional coordinates of all 8 atoms:
K: 0.680 0.500 0.017
K: 0.975 0.000 0.320
K: 0.034 0.500 0.687
Cu: 0.498 0.251 0.491
Cu: 0.498 0.749 0.491
Na: 0.337 0.000 0.000
As: 0.723 0.000 0.753
As: 0.254 0.500 0.241

Calculated values
DFT total energy: -3.01 eV/atom
Crystal system: monoclinic

---

2.
## KNaCuAs (PBE-GGA)

Data for a relaxed structure of KNaCuAs.

Lattice parameters (Å, degrees): 5.901 5.442 6.330 90.00 103.69 90.00
Fractional coordinates of all 8 atoms:
K: 0.448 0.250 0.312
K: 0.552 0.750 0.688
As: 0.774 0.750 0.225
As: 0.226 0.250 0.775
Na: 0.833 0.250 0.010
Na: 0.167 0.750 0.990
Cu: 0.000 0.000 0.500
Cu: 0.000 0.500 0.500

Calculated values
Energy above the lowest structure with this stoichiometry: 0 meV/atom
Crystal system: monoclinic

---

Q: What is the formula in the first record?
A: K3NaCu2As2